(1)
Mn2BeAsPb, optimized geometry, DFT PBE-GGA; DFT formation energy = 1933 meV/atom; symmetry = P4/mmm; total magnetization = 0.200 Bohr magnetons per cell
1.0
4.8928 0.0000 0.0000
0.0000 4.8928 0.0000
0.0000 0.0000 4.3606
Mn Be As Pb
2 1 1 1
Direct
0.0000 0.5000 0.0000
0.5000 0.0000 0.0000
0.0000 0.0000 0.5000
0.5000 0.5000 0.5000
0.0000 0.0000 0.0000


(2)
MnBeAsRu, optimized geometry, DFT PBE-GGA; DFT formation energy = -78 meV/atom; symmetry = F-43m; total magnetization = 6.942 Bohr magnetons per cell
1.0
5.7634 0.0000 0.0000
0.0000 5.7634 0.0000
0.0000 0.0000 5.7634
Mn Be As Ru
4 4 4 4
Direct
0.0000 0.0000 0.0000
0.0000 0.5000 0.5000
0.5000 0.0000 0.5000
0.5000 0.5000 0.0000
0.2500 0.2500 0.2500
0.2500 0.7500 0.7500
0.7500 0.2500 0.7500
0.7500 0.7500 0.2500
0.2500 0.2500 0.7500
0.2500 0.7500 0.2500
0.7500 0.2500 0.2500
0.7500 0.7500 0.7500
0.0000 0.0000 0.5000
0.0000 0.5000 0.0000
0.5000 0.0000 0.0000
0.5000 0.5000 0.5000


(3)
MnBeAs2Se, optimized geometry, DFT PBE-GGA; formation energy from raw total energies = 3.59 eV/f.u.; distance to the lowest polymorph of the same formula = 0 meV per atom; symmetry = P4/mmm; total magnetization = 0.953 Bohr magnetons per cell
1.0
4.4114 0.0000 0.0000
0.0000 4.4114 0.0000
0.0000 0.0000 5.2965
Mn Be As Se
1 1 2 1
Direct
0.0000 0.0000 0.0000
0.5000 0.5000 0.5000
0.0000 0.5000 0.0000
0.5000 0.0000 0.0000
0.0000 0.0000 0.5000


(4)
MnBeAs2Se, optimized geometry, DFT PBE-GGA; formation energy from raw total energies = 4.75 eV/f.u.; distance to the lowest polymorph of the same formula = 233 meV per atom; symmetry = P4/mmm; total magnetization = 0.008 Bohr magnetons per cell
1.0
4.2893 0.0000 0.0000
0.0000 4.2893 0.0000
0.0000 0.0000 4.7722
Mn Be As Se
1 1 2 1
Direct
0.0000 0.0000 0.0000
0.5000 0.5000 0.5000
0.0000 0.5000 0.5000
0.5000 0.0000 0.5000
0.5000 0.5000 0.0000


(5)
Mn2BeTcAs, optimized geometry, DFT PBE-GGA; DFT formation energy = 1092 meV/atom; symmetry = P4/mmm; total magnetization = 5.932 Bohr magnetons per cell
1.0
4.5994 0.0000 0.0000
0.0000 4.5994 0.0000
0.0000 0.0000 4.2634
Mn Be Tc As
2 1 1 1
Direct
0.0000 0.5000 0.0000
0.5000 0.0000 0.0000
0.0000 0.0000 0.5000
0.0000 0.0000 0.0000
0.5000 0.5000 0.5000


(6)
MnBe2TlAs, optimized geometry, DFT PBE-GGA; DFT formation energy = 651 meV/atom; symmetry = P4/mmm; total magnetization = 3.432 Bohr magnetons per cell
1.0
4.3049 0.0000 0.0000
0.0000 4.3049 0.0000
0.0000 0.0000 4.8759
Mn Be Tl As
1 2 1 1
Direct
0.0000 0.0000 0.0000
0.0000 0.5000 0.5000
0.5000 0.0000 0.5000
0.5000 0.5000 0.0000
0.0000 0.0000 0.5000


(7)
MnBeZn2As, optimized geometry, DFT PBE-GGA; DFT formation energy = 906 meV/atom; symmetry = P4/mmm; total magnetization = 3.705 Bohr magnetons per cell
1.0
4.7792 0.0000 0.0000
0.0000 4.7792 0.0000
0.0000 0.0000 4.6403
Mn Be Zn As
1 1 2 1
Direct
0.0000 0.0000 0.0000
0.5000 0.5000 0.0000
0.0000 0.5000 0.5000
0.5000 0.0000 0.5000
0.0000 0.0000 0.5000


(8)
BeMo2As, optimized geometry, DFT PBE-GGA; DFT formation energy = -46 meV/atom; distance to the lowest polymorph of the same formula = 0 meV per atom; symmetry = P4mm; total magnetization = 0.000 Bohr magnetons per cell
1.0
3.1917 0.0000 0.0000
0.0000 3.1917 0.0000
0.0000 0.0000 5.5217
Be Mo As
1 2 1
Direct
0.0000 0.0000 0.0000
0.0000 0.0000 0.4794
0.5000 0.5000 0.2075
0.5000 0.5000 0.7417


(9)
BeMo2As, optimized geometry, DFT PBE-GGA; DFT formation energy = 293 meV/atom; distance to the lowest polymorph of the same formula = 339 meV per atom; symmetry = F-43m; total magnetization = 0.001 Bohr magnetons per cell
1.0
6.1106 0.0000 0.0000
0.0000 6.1106 0.0000
0.0000 0.0000 6.1106
Be Mo As
4 8 4
Direct
0.0000 0.0000 0.0000
0.0000 0.5000 0.5000
0.5000 0.0000 0.5000
0.5000 0.5000 0.0000
0.0000 0.0000 0.5000
0.0000 0.5000 0.0000
0.2500 0.2500 0.2500
0.2500 0.7500 0.7500
0.5000 0.0000 0.0000
0.5000 0.5000 0.5000
0.7500 0.2500 0.7500
0.7500 0.7500 0.2500
0.2500 0.2500 0.7500
0.2500 0.7500 0.2500
0.7500 0.2500 0.2500
0.7500 0.7500 0.7500


(10)
BeMo2As, optimized geometry, DFT PBE-GGA; DFT formation energy = 291 meV/atom; distance to the lowest polymorph of the same formula = 337 meV per atom; symmetry = Cmm2; total magnetization = 0.000 Bohr magnetons per cell
1.0
3.2485 0.0000 0.0000
0.0000 4.4211 0.0000
0.0000 0.0000 8.5961
Be Mo As
2 4 2
Direct
0.0000 0.0000 0.0000
0.5000 0.5000 0.0000
0.0000 0.0000 0.4597
0.0000 0.5000 0.2044
0.5000 0.0000 0.2044
0.5000 0.5000 0.4597
0.0000 0.5000 0.7100
0.5000 0.0000 0.7100


(11)
BeMo2As, optimized geometry, DFT PBE-GGA; DFT formation energy = 206 meV/atom; distance to the lowest polymorph of the same formula = 252 meV per atom; symmetry = P2/m; total magnetization = 0.000 Bohr magnetons per cell
1.0
2.8220 0.0000 0.0000
0.0000 3.9292 0.0000
-0.9269 0.0000 5.2022
Be Mo As
1 2 1
Direct
0.0000 0.0000 0.0000
0.2840 0.5000 0.7638
0.7160 0.5000 0.2362
0.5000 0.0000 0.5000


(12)
BeMo2As, optimized geometry, DFT PBE-GGA; DFT formation energy = 222 meV/atom; distance to the lowest polymorph of the same formula = 268 meV per atom; symmetry = Pmmm; total magnetization = 0.000 Bohr magnetons per cell
1.0
3.3010 0.0000 0.0000
0.0000 3.9308 0.0000
0.0000 0.0000 4.3960
Be Mo As
1 2 1
Direct
0.0000 0.0000 0.0000
0.0000 0.5000 0.5000
0.5000 0.5000 0.0000
0.5000 0.0000 0.5000


(13)
BeMo2As, optimized geometry, DFT PBE-GGA; DFT formation energy = 95 meV/atom; distance to the lowest polymorph of the same formula = 140 meV per atom; symmetry = Cm; total magnetization = 0.000 Bohr magnetons per cell
1.0
8.9010 0.0000 0.0000
0.0000 3.0328 0.0000
-1.1241 0.0000 4.1502
Be Mo As
2 4 2
Direct
0.0000 0.0000 0.0000
0.5000 0.5000 0.0000
0.0251 0.5000 0.5040
0.2384 0.5000 0.1589
0.5251 0.0000 0.5040
0.7384 0.0000 0.1589
0.2752 0.0000 0.6933
0.7752 0.5000 0.6933


(14)
Be3MoAs, optimized geometry, DFT PBE-GGA; DFT formation energy = 1335 meV/atom; distance to the lowest polymorph of the same formula = 116 meV per atom; symmetry = Pm-3m; total magnetization = 0.000 Bohr magnetons per cell
1.0
4.3056 0.0000 0.0000
0.0000 4.3056 0.0000
0.0000 0.0000 4.3056
Be Mo As
3 1 1
Direct
0.0000 0.0000 0.5000
0.0000 0.5000 0.0000
0.5000 0.0000 0.0000
0.0000 0.0000 0.0000
0.5000 0.5000 0.5000


(15)
BeMo3As, optimized geometry, DFT PBE-GGA; DFT formation energy = 791 meV/atom; distance to the lowest polymorph of the same formula = 0 meV per atom; symmetry = Pm-3m; total magnetization = 0.000 Bohr magnetons per cell
1.0
4.2424 0.0000 0.0000
0.0000 4.2424 0.0000
0.0000 0.0000 4.2424
Be Mo As
1 3 1
Direct
0.0000 0.0000 0.0000
0.0000 0.0000 0.5000
0.0000 0.5000 0.0000
0.5000 0.0000 0.0000
0.5000 0.5000 0.5000


(16)
BeMoAs3, optimized geometry, DFT PBE-GGA; DFT formation energy = 831 meV/atom; distance to the lowest polymorph of the same formula = 0 meV per atom; symmetry = Pm-3m; total magnetization = 2.763 Bohr magnetons per cell
1.0
4.4648 0.0000 0.0000
0.0000 4.4648 0.0000
0.0000 0.0000 4.4648
Be Mo As
1 1 3
Direct
0.0000 0.0000 0.0000
0.5000 0.5000 0.5000
0.0000 0.0000 0.5000
0.0000 0.5000 0.0000
0.5000 0.0000 0.0000


(17)
BeMo2As, optimized geometry, DFT PBE-GGA; DFT formation energy = 202 meV/atom; distance to the lowest polymorph of the same formula = 248 meV per atom; symmetry = Cmmm; total magnetization = 0.000 Bohr magnetons per cell
1.0
5.4343 0.0000 0.0000
0.0000 6.2833 0.0000
0.0000 0.0000 3.2707
Be Mo As
2 4 2
Direct
0.0000 0.0000 0.0000
0.5000 0.5000 0.0000
0.2500 0.2500 0.5000
0.2500 0.7500 0.5000
0.7500 0.2500 0.5000
0.7500 0.7500 0.5000
0.0000 0.5000 0.0000
0.5000 0.0000 0.0000


(18)
BeMo2As, optimized geometry, DFT PBE-GGA; DFT formation energy = 183 meV/atom; distance to the lowest polymorph of the same formula = 229 meV per atom; symmetry = C2/m; total magnetization = 0.000 Bohr magnetons per cell
1.0
8.4781 0.0000 0.0000
0.0000 3.1282 0.0000
-0.7887 0.0000 4.4001
Be Mo As
2 4 2
Direct
0.0000 0.0000 0.0000
0.5000 0.5000 0.0000
0.2460 0.5000 0.2272
0.2540 0.0000 0.7728
0.7460 0.0000 0.2272
0.7540 0.5000 0.7728
0.0000 0.5000 0.5000
0.5000 0.0000 0.5000


(19)
BeMo2As, optimized geometry, DFT PBE-GGA; DFT formation energy = 362 meV/atom; distance to the lowest polymorph of the same formula = 407 meV per atom; symmetry = I-42d; total magnetization = 0.000 Bohr magnetons per cell
1.0
3.7029 0.0000 0.0000
0.0000 3.7029 0.0000
0.0000 0.0000 18.0210
Be Mo As
4 8 4
Direct
0.0000 0.0000 0.0000
0.0000 0.5000 0.2500
0.5000 0.0000 0.7500
0.5000 0.5000 0.5000
0.2264 0.2500 0.1250
0.2500 0.7264 0.3750
0.2500 0.7736 0.8750
0.2736 0.2500 0.6250
0.7264 0.7500 0.6250
0.7500 0.2264 0.8750
0.7500 0.2736 0.3750
0.7736 0.7500 0.1250
0.0000 0.0000 0.5000
0.0000 0.5000 0.7500
0.5000 0.0000 0.2500
0.5000 0.5000 0.0000


(20)
BeMo2As, optimized geometry, DFT PBE-GGA; DFT formation energy = 157 meV/atom; distance to the lowest polymorph of the same formula = 203 meV per atom; symmetry = P4/mmm; total magnetization = 0.000 Bohr magnetons per cell
1.0
3.1630 0.0000 0.0000
0.0000 3.1630 0.0000
0.0000 0.0000 5.6189
Be Mo As
1 2 1
Direct
0.0000 0.0000 0.0000
0.5000 0.5000 0.2222
0.5000 0.5000 0.7778
0.0000 0.0000 0.5000


(21)
BeMoAs3, optimized geometry, DFT PBE-GGA; DFT formation energy = 875 meV/atom; distance to the lowest polymorph of the same formula = 44 meV per atom; symmetry = Pm-3m; total magnetization = 0.000 Bohr magnetons per cell
1.0
4.8783 0.0000 0.0000
0.0000 4.8783 0.0000
0.0000 0.0000 4.8783
Be Mo As
1 1 3
Direct
0.0000 0.0000 0.0000
0.5000 0.5000 0.5000
0.0000 0.5000 0.5000
0.5000 0.0000 0.5000
0.5000 0.5000 0.0000


(22)
BeMo2As, optimized geometry, DFT PBE-GGA; DFT formation energy = 329 meV/atom; distance to the lowest polymorph of the same formula = 375 meV per atom; symmetry = R3m; total magnetization = 0.000 Bohr magnetons per cell
1.0
2.9654 0.0000 0.0000
-1.4827 2.5681 0.0000
0.0000 0.0000 23.9578
Be Mo As
3 6 3
Direct
0.0000 0.0000 0.0000
0.3333 0.6667 0.6667
0.6667 0.3333 0.3333
0.0000 0.0000 0.2547
0.0000 0.0000 0.5034
0.3333 0.6667 0.1701
0.3333 0.6667 0.9214
0.6667 0.3333 0.5881
0.6667 0.3333 0.8368
0.0000 0.0000 0.7523
0.3333 0.6667 0.4190
0.6667 0.3333 0.0857


(23)
BeMo2As, optimized geometry, DFT PBE-GGA; DFT formation energy = 209 meV/atom; distance to the lowest polymorph of the same formula = 255 meV per atom; symmetry = R-3m; total magnetization = 0.000 Bohr magnetons per cell
1.0
3.3337 0.0000 0.0000
-1.6668 2.8870 0.0000
0.0000 0.0000 18.1289
Be Mo As
3 6 3
Direct
0.0000 0.0000 0.0000
0.3333 0.6667 0.6667
0.6667 0.3333 0.3333
0.0000 0.0000 0.2665
0.0000 0.0000 0.7335
0.3333 0.6667 0.4002
0.3333 0.6667 0.9332
0.6667 0.3333 0.0668
0.6667 0.3333 0.5998
0.0000 0.0000 0.5000
0.3333 0.6667 0.1667
0.6667 0.3333 0.8333


(24)
BeMo2As, optimized geometry, DFT PBE-GGA; DFT formation energy = -3 meV/atom; distance to the lowest polymorph of the same formula = 43 meV per atom; symmetry = Amm2; total magnetization = 0.001 Bohr magnetons per cell
1.0
3.7937 0.0000 0.0000
0.0000 3.2214 0.0000
0.0000 0.0000 9.0273
Be Mo As
2 4 2
Direct
0.0000 0.0000 0.0000
0.0000 0.5000 0.5000
0.0000 0.0000 0.2689
0.0000 0.5000 0.7689
0.5000 0.0000 0.5638
0.5000 0.5000 0.0638
0.5000 0.0000 0.8451
0.5000 0.5000 0.3451


(25)
Be3MoAs, optimized geometry, DFT PBE-GGA; DFT formation energy = 1219 meV/atom; distance to the lowest polymorph of the same formula = 0 meV per atom; symmetry = Pm-3m; total magnetization = 0.000 Bohr magnetons per cell
1.0
4.1221 0.0000 0.0000
0.0000 4.1221 0.0000
0.0000 0.0000 4.1221
Be Mo As
3 1 1
Direct
0.0000 0.0000 0.5000
0.0000 0.5000 0.0000
0.5000 0.0000 0.0000
0.5000 0.5000 0.5000
0.0000 0.0000 0.0000


(26)
BeMo2As, optimized geometry, DFT PBE-GGA; DFT formation energy = 161 meV/atom; distance to the lowest polymorph of the same formula = 207 meV per atom; symmetry = Immm; total magnetization = 0.000 Bohr magnetons per cell
1.0
3.2561 0.0000 0.0000
0.0000 4.5090 0.0000
0.0000 0.0000 7.6734
Be Mo As
2 4 2
Direct
0.0000 0.0000 0.0000
0.5000 0.5000 0.5000
0.0000 0.5000 0.2630
0.0000 0.5000 0.7370
0.5000 0.0000 0.2370
0.5000 0.0000 0.7630
0.0000 0.0000 0.5000
0.5000 0.5000 0.0000


(27)
BeMo2As, optimized geometry, DFT PBE-GGA; DFT formation energy = 115 meV/atom; distance to the lowest polymorph of the same formula = 161 meV per atom; symmetry = Imm2; total magnetization = 0.000 Bohr magnetons per cell
1.0
3.3115 0.0000 0.0000
0.0000 4.1469 0.0000
0.0000 0.0000 8.1510
Be Mo As
2 4 2
Direct
0.0000 0.0000 0.0000
0.5000 0.5000 0.5000
0.0000 0.0000 0.5083
0.0000 0.5000 0.7489
0.5000 0.0000 0.2489
0.5000 0.5000 0.0083
0.0000 0.5000 0.2659
0.5000 0.0000 0.7659


(28)
BeMo2As, optimized geometry, DFT PBE-GGA; DFT formation energy = 177 meV/atom; distance to the lowest polymorph of the same formula = 223 meV per atom; symmetry = Fm-3m; total magnetization = 0.000 Bohr magnetons per cell
1.0
6.0461 0.0000 0.0000
0.0000 6.0461 0.0000
0.0000 0.0000 6.0461
Be Mo As
4 8 4
Direct
0.0000 0.0000 0.0000
0.0000 0.5000 0.5000
0.5000 0.0000 0.5000
0.5000 0.5000 0.0000
0.2500 0.2500 0.2500
0.2500 0.2500 0.7500
0.2500 0.7500 0.2500
0.2500 0.7500 0.7500
0.7500 0.2500 0.2500
0.7500 0.2500 0.7500
0.7500 0.7500 0.2500
0.7500 0.7500 0.7500
0.0000 0.0000 0.5000
0.0000 0.5000 0.0000
0.5000 0.0000 0.0000
0.5000 0.5000 0.5000


(29)
BeMoAsN2, optimized geometry, DFT PBE-GGA; formation energy from raw total energies = 6.24 eV/f.u.; symmetry = P4/mmm; total magnetization = 0.000 Bohr magnetons per cell
1.0
3.5430 0.0000 0.0000
0.0000 3.5430 0.0000
0.0000 0.0000 4.6354
Be Mo As N
1 1 1 2
Direct
0.0000 0.0000 0.0000
0.5000 0.5000 0.5000
0.0000 0.0000 0.5000
0.0000 0.5000 0.0000
0.5000 0.0000 0.0000


(30)
BeNi2MoAs, optimized geometry, DFT PBE-GGA; DFT formation energy = 369 meV/atom; symmetry = P4/mmm; total magnetization = 0.000 Bohr magnetons per cell
1.0
3.8840 0.0000 0.0000
0.0000 3.8840 0.0000
0.0000 0.0000 4.3203
Be Ni Mo As
1 2 1 1
Direct
0.0000 0.0000 0.0000
0.0000 0.5000 0.0000
0.5000 0.0000 0.0000
0.0000 0.0000 0.5000
0.5000 0.5000 0.5000


Raw total energy values (in eV/atom) by entry order: -4.1519; -6.7832; -4.4182; -4.1856; -6.3239; -4.0766; -3.1129; -7.5553; -7.2166; -7.2181; -7.3037; -7.2877; -7.4149; -3.9971; -7.3829; -4.8701; -7.3075; -7.3263; -7.1480; -7.3522; -4.8264; -7.1801; -7.3005; -7.5124; -4.1131; -7.3484; -7.3947; -7.3324; -5.9232; -5.7849.